1.
## Cd3Ni (PBE-GGA)

Data for a relaxed Cd3Ni crystal.

## Properties
DOS at the Fermi energy = 5.3 states/eV/cell
Energy of formation = 0.119 eV/atom
M_tot = 0.00 μB/f.u.

abc: 3.0575 3.0575 28.3305
angles: 90.00 90.00 120.00
Space group R-3m (No. 166, hexagonal axes)
One atom of each set of equivalent atoms:
Cd 0.0000 0.0000 0.0000 (multiplicity 3)
Cd 0.0000 0.0000 0.2385 (multiplicity 6)
Ni 0.0000 0.0000 0.5000 (multiplicity 3)

***

2.
## InRhCl2 (PBE-GGA)

Data for a relaxed InRhCl2 crystal.

## Properties
Excess energy over the best structure of this formula in the dataset = 575 meV/atom
DOS at the Fermi energy = 24.7 states/eV/cell
Uncorrected formation energy = 0.131 eV/atom
M_tot = 2.00 μB/f.u.

abc: 6.996 6.996 6.996
angles: 90.00 90.00 90.00
Space group Fm-3m (No. 225)
One atom of each set of equivalent atoms:
In 0.000 0.000 0.000 (multiplicity 4)
Rh 0.000 0.000 0.500 (multiplicity 4)
Cl 0.250 0.250 0.250 (multiplicity 8)

***

3.
## GaNiRh (PBE-GGA)

Data for a relaxed GaNiRh crystal.

## Properties
DOS at the Fermi energy = 4.9 states/eV/cell
Energy of formation = -0.136 eV/atom
M_tot = 0.00 μB/f.u.

abc: 3.991 3.991 5.664
angles: 90.00 90.00 90.00
Space group I-4m2 (No. 119)
One atom of each set of equivalent atoms:
Ga 0.000 0.000 0.000 (multiplicity 2)
Ni 0.000 0.500 0.750 (multiplicity 2)
Rh 0.000 0.500 0.250 (multiplicity 2)

***

4.
## H2S (PBE-GGA)

Data for a relaxed H2S crystal.

## Properties
Excess energy over the best structure of this formula in the dataset = 0 meV/atom
DOS at the Fermi energy = 0.0 states/eV/cell
M_tot = 0.00 μB/f.u.

abc: 4.678 4.848 4.353
angles: 90.00 90.00 90.00
Space group Pnn2 (No. 34)
One atom of each set of equivalent atoms:
H 0.152 0.142 0.000 (multiplicity 4)
S 0.000 0.000 0.786 (multiplicity 2)